First-principles (PBE) data for an optimized crystal structure of PmDy4Ho2, as listed in Alexandria via LeMat-Bulk.

Values from the calculation:
Energy relative to the elements = 0.034 eV/atom
E above lowest polymorph = 0.0 meV/atom
DOS at the Fermi energy = 20.92 states/eV/cell
Total DFT energy (no corrections) = -64.1 eV for the cell shown

abc: 16.651 3.523 8.729
angles: 90.00 119.36 90.00
Space group C2/m (No. 12)
Symmetry-distinct sites (fractional):
Pm 0.000 0.000 0.000 [2 per cell]
Dy 0.141 0.500 0.833 [4 per cell]
Dy 0.205 0.500 0.294 [4 per cell]
Ho 0.070 0.000 0.430 [4 per cell]